[1]
Here is an optimized crystal structure of Nb2CoOs from OQMD. Energies are from PBE.

Cell: 6.237 6.237 6.237 Å, 90.00 90.00 90.00°
Fractional positions:
Nb 0.000 0.000 0.000
Nb 0.000 0.500 0.500
Nb 0.250 0.250 0.250
Nb 0.250 0.750 0.750
Nb 0.500 0.000 0.500
Nb 0.500 0.500 0.000
Nb 0.750 0.250 0.750
Nb 0.750 0.750 0.250
Co 0.250 0.250 0.750
Co 0.250 0.750 0.250
Co 0.750 0.250 0.250
Co 0.750 0.750 0.750
Os 0.000 0.000 0.500
Os 0.000 0.500 0.000
Os 0.500 0.000 0.000
Os 0.500 0.500 0.500

Results
- Formation energy: 38 meV/atom

[2]
Here is an optimized crystal structure of NbCoOsPb from OQMD. Energies are from PBE.

Cell: 6.457 6.457 6.457 Å, 90.00 90.00 90.00°
Fractional positions:
Nb 0.000 0.000 0.000
Nb 0.000 0.500 0.500
Nb 0.500 0.000 0.500
Nb 0.500 0.500 0.000
Co 0.000 0.000 0.500
Co 0.000 0.500 0.000
Co 0.500 0.000 0.000
Co 0.500 0.500 0.500
Os 0.250 0.250 0.750
Os 0.250 0.750 0.250
Os 0.750 0.250 0.250
Os 0.750 0.750 0.750
Pb 0.250 0.250 0.250
Pb 0.250 0.750 0.750
Pb 0.750 0.250 0.750
Pb 0.750 0.750 0.250

Results
- Distance to the lowest polymorph of the same formula: 96 kJ/mol of formula units